Density functional theory data (PBE with a Hubbard U) for a geometry-optimized PaCo2NiO6 structure.

Geometry as CIF:
```
data_PaCo2NiO6
_chemical_formula_sum 'Pa1 Co2 Ni1 O6'
_cell_length_a 5.336
_cell_length_b 5.262
_cell_length_c 5.664
_cell_angle_alpha 63.11
_cell_angle_beta 62.26
_cell_angle_gamma 60.34
_symmetry_space_group_name_H-M 'P 1'
_symmetry_Int_Tables_number 1
loop_
_symmetry_equiv_pos_as_xyz
'x,y,z'
loop_
_atom_site_label
_atom_site_type_symbol
_atom_site_fract_x
_atom_site_fract_y
_atom_site_fract_z
O1 O 0.419 0.716 0.739
O2 O 0.622 0.240 0.267
Co1 Co 0.025 0.020 0.926
O3 O 0.229 0.885 0.260
O4 O 0.114 0.414 0.751
Ni1 Ni 0.822 0.814 0.548
Pa1 Pa 0.311 0.311 0.065
O5 O 0.719 0.111 0.756
O6 O 0.886 0.631 0.254
Co2 Co 0.515 0.519 0.449
```

Calculated values
As for the raw total energy: -70.24 eV for the cell shown. As for the total magnetic moment: 0.898 μB per atom.



Density functional theory data (PBE with a Hubbard U) for a geometry-optimized PaCo2NiO8 structure.

Geometry as CIF:
```
data_PaCo2NiO8
_chemical_formula_sum 'Pa1 Co2 Ni1 O8'
_cell_length_a 5.847
_cell_length_b 5.847
_cell_length_c 5.847
_cell_angle_alpha 107.71
_cell_angle_beta 107.71
_cell_angle_gamma 113.05
_symmetry_space_group_name_H-M 'P 1'
_symmetry_Int_Tables_number 1
loop_
_symmetry_equiv_pos_as_xyz
'x,y,z'
loop_
_atom_site_label
_atom_site_type_symbol
_atom_site_fract_x
_atom_site_fract_y
_atom_site_fract_z
O1 O 0.316 0.134 0.818
O2 O 0.756 0.065 0.691
Co1 Co 0.500 0.500 0.000
O3 O 0.502 0.684 0.818
Co2 Co 0.750 0.250 0.500
O4 O 0.316 0.498 0.182
Pa1 Pa 0.000 0.000 0.000
Ni1 Ni 0.250 0.750 0.500
O5 O 0.866 0.684 0.182
O6 O 0.935 0.244 0.309
O7 O 0.935 0.626 0.691
O8 O 0.374 0.065 0.309
```

Calculated values
As for the raw total energy: -76.55 eV for the cell shown. As for the total magnetic moment: 0.749 μB per atom.



Density functional theory data (PBE with a Hubbard U) for a geometry-optimized Pa2CoNiO8 structure.

Geometry as CIF:
```
data_Pa2CoNiO8
_chemical_formula_sum 'Pa2 Co1 Ni1 O8'
_cell_length_a 5.149
_cell_length_b 5.149
_cell_length_c 6.599
_cell_angle_alpha 112.97
_cell_angle_beta 112.97
_cell_angle_gamma 90.00
_symmetry_space_group_name_H-M 'P 1'
_symmetry_Int_Tables_number 1
loop_
_symmetry_equiv_pos_as_xyz
'x,y,z'
loop_
_atom_site_label
_atom_site_type_symbol
_atom_site_fract_x
_atom_site_fract_y
_atom_site_fract_z
Pa1 Pa 0.250 0.750 0.500
Ni1 Ni 0.000 0.000 0.000
O1 O 0.188 0.093 0.836
O2 O 0.495 0.442 0.337
O3 O 0.104 0.505 0.663
O4 O 0.558 0.157 0.663
O5 O 0.843 0.896 0.337
O6 O 0.257 0.812 0.164
O7 O 0.648 0.743 0.836
Pa2 Pa 0.500 0.500 0.000
Co1 Co 0.750 0.250 0.500
O8 O 0.907 0.352 0.164
```

Calculated values
As for the raw total energy: -94.53 eV for the cell shown. As for the total magnetic moment: 0.583 μB per atom.



Density functional theory data (PBE with a Hubbard U) for a geometry-optimized PaCoNiO6 structure.

Geometry as CIF:
```
data_PaCoNiO6
_chemical_formula_sum 'Pa1 Co1 Ni1 O6'
_cell_length_a 4.742
_cell_length_b 4.990
_cell_length_c 4.990
_cell_angle_alpha 120.00
_cell_angle_beta 90.00
_cell_angle_gamma 90.00
_symmetry_space_group_name_H-M 'P 1'
_symmetry_Int_Tables_number 1
loop_
_symmetry_equiv_pos_as_xyz
'x,y,z'
loop_
_atom_site_label
_atom_site_type_symbol
_atom_site_fract_x
_atom_site_fract_y
_atom_site_fract_z
O1 O 0.276 0.680 0.028
O2 O 0.724 0.348 0.028
Co1 Co 0.500 0.000 0.000
O3 O 0.724 0.972 0.320
O4 O 0.276 0.348 0.320
O5 O 0.724 0.680 0.652
Pa1 Pa 0.000 0.333 0.667
Ni1 Ni 0.500 0.667 0.333
O6 O 0.276 0.972 0.652
```

Calculated values
As for the raw total energy: -62.42 eV for the cell shown. As for the total magnetic moment: 0.443 μB per atom.



Density functional theory data (PBE with a Hubbard U) for a geometry-optimized PaCo3Ni4O12 structure.

Geometry as CIF:
```
data_PaCo3Ni4O12
_chemical_formula_sum 'Pa1 Co3 Ni4 O12'
_cell_length_a 6.360
_cell_length_b 6.360
_cell_length_c 6.360
_cell_angle_alpha 109.47
_cell_angle_beta 109.47
_cell_angle_gamma 109.47
_symmetry_space_group_name_H-M 'P 1'
_symmetry_Int_Tables_number 1
loop_
_symmetry_equiv_pos_as_xyz
'x,y,z'
loop_
_atom_site_label
_atom_site_type_symbol
_atom_site_fract_x
_atom_site_fract_y
_atom_site_fract_z
O1 O 0.698 0.166 0.864
Pa1 Pa 0.000 0.000 0.000
O2 O 0.166 0.864 0.698
Co1 Co 0.500 0.500 0.000
Ni1 Ni 0.500 0.000 0.000
O3 O 0.302 0.166 0.469
Ni2 Ni 0.000 0.500 0.000
O4 O 0.834 0.531 0.698
Co2 Co 0.000 0.500 0.500
O5 O 0.834 0.136 0.302
O6 O 0.136 0.302 0.834
Co3 Co 0.500 0.000 0.500
O7 O 0.864 0.698 0.166
Ni3 Ni 0.000 0.000 0.500
O8 O 0.698 0.834 0.531
O9 O 0.302 0.834 0.136
O10 O 0.469 0.302 0.166
Ni4 Ni 0.500 0.500 0.500
O11 O 0.166 0.469 0.302
O12 O 0.531 0.698 0.834
```

Calculated values
As for the raw total energy: -120.15 eV for the cell shown. As for the total magnetic moment: 0.600 μB per atom.



Density functional theory data (PBE with a Hubbard U) for a geometry-optimized CoNiPdO4 structure.

Geometry as CIF:
```
data_CoNiPdO4
_chemical_formula_sum 'Co2 Ni2 Pd2 O8'
_cell_length_a 6.013
_cell_length_b 6.022
_cell_length_c 5.782
_cell_angle_alpha 118.69
_cell_angle_beta 90.00
_cell_angle_gamma 119.95
_symmetry_space_group_name_H-M 'P 1'
_symmetry_Int_Tables_number 1
loop_
_symmetry_equiv_pos_as_xyz
'x,y,z'
loop_
_atom_site_label
_atom_site_type_symbol
_atom_site_fract_x
_atom_site_fract_y
_atom_site_fract_z
Co1 Co 0.500 0.000 0.500
Ni1 Ni 0.129 0.257 0.879
O1 O 0.275 0.982 0.241
Pd1 Pd 0.000 0.500 0.500
O2 O 0.293 0.018 0.759
O3 O 0.278 0.556 0.290
O4 O 0.722 0.444 0.710
Ni2 Ni 0.871 0.743 0.121
O5 O 0.722 0.444 0.234
Pd2 Pd 0.500 0.500 0.500
Co2 Co 0.500 0.000 0.000
O6 O 0.278 0.556 0.766
O7 O 0.707 0.982 0.241
O8 O 0.725 0.018 0.759
```

Calculated values
As for the raw total energy: -74.88 eV for the cell shown. As for the total magnetic moment: 0.164 μB per atom.



Density functional theory data (PBE with a Hubbard U) for a geometry-optimized Pm4Co3NiO12 structure.

Geometry as CIF:
```
data_Pm4Co3NiO12
_chemical_formula_sum 'Pm4 Co3 Ni1 O12'
_cell_length_a 6.550
_cell_length_b 6.550
_cell_length_c 6.550
_cell_angle_alpha 109.47
_cell_angle_beta 109.47
_cell_angle_gamma 109.47
_symmetry_space_group_name_H-M 'P 1'
_symmetry_Int_Tables_number 1
loop_
_symmetry_equiv_pos_as_xyz
'x,y,z'
loop_
_atom_site_label
_atom_site_type_symbol
_atom_site_fract_x
_atom_site_fract_y
_atom_site_fract_z
Co1 Co 0.500 0.500 0.000
O1 O 0.255 0.000 0.255
O2 O 0.750 0.500 0.250
Pm1 Pm 0.000 0.000 0.500
Pm2 Pm 0.500 0.500 0.500
O3 O 0.500 0.250 0.750
O4 O 0.250 0.500 0.750
Co2 Co 0.000 0.500 0.500
O5 O 0.745 0.745 0.000
O6 O 0.500 0.750 0.250
O7 O 0.000 0.745 0.745
Ni1 Ni 0.000 0.000 0.000
O8 O 0.745 0.000 0.745
O9 O 0.255 0.255 0.000
Co3 Co 0.500 0.000 0.500
O10 O 0.000 0.255 0.255
Pm3 Pm 0.000 0.500 0.000
O11 O 0.250 0.750 0.500
Pm4 Pm 0.500 0.000 0.000
O12 O 0.750 0.250 0.500
```

Calculated values
As for the raw total energy: -137.41 eV for the cell shown. As for the total magnetic moment: 0.108 μB per atom.



Density functional theory data (PBE with a Hubbard U) for a geometry-optimized Pm2Co2NiO6 structure.

Geometry as CIF:
```
data_Pm2Co2NiO6
_chemical_formula_sum 'Pm2 Co2 Ni1 O6'
_cell_length_a 5.753
_cell_length_b 5.753
_cell_length_c 6.018
_cell_angle_alpha 61.44
_cell_angle_beta 61.44
_cell_angle_gamma 60.00
_symmetry_space_group_name_H-M 'P 1'
_symmetry_Int_Tables_number 1
loop_
_symmetry_equiv_pos_as_xyz
'x,y,z'
loop_
_atom_site_label
_atom_site_type_symbol
_atom_site_fract_x
_atom_site_fract_y
_atom_site_fract_z
O1 O 0.792 0.239 0.729
O2 O 0.239 0.239 0.729
Co1 Co 0.578 0.578 0.265
Pm1 Pm 0.210 0.210 0.371
O3 O 0.761 0.761 0.271
Co2 Co 0.422 0.422 0.735
Pm2 Pm 0.790 0.790 0.629
Ni1 Ni 0.000 0.000 0.000
O4 O 0.761 0.208 0.271
O5 O 0.239 0.792 0.729
O6 O 0.208 0.761 0.271
```

Calculated values
As for the raw total energy: -70.20 eV for the cell shown. As for the total magnetic moment: 0.536 μB per atom.



Density functional theory data (PBE with a Hubbard U) for a geometry-optimized Pm2CoNiO6 structure.

Geometry as CIF:
```
data_Pm2CoNiO6
_chemical_formula_sum 'Pm4 Co2 Ni2 O12'
_cell_length_a 5.374
_cell_length_b 5.547
_cell_length_c 7.644
_cell_angle_alpha 90.00
_cell_angle_beta 90.04
_cell_angle_gamma 90.00
_symmetry_space_group_name_H-M 'P 1'
_symmetry_Int_Tables_number 1
loop_
_symmetry_equiv_pos_as_xyz
'x,y,z'
loop_
_atom_site_label
_atom_site_type_symbol
_atom_site_fract_x
_atom_site_fract_y
_atom_site_fract_z
Pm1 Pm 0.514 0.557 0.750
Pm2 Pm 0.014 0.943 0.250
O1 O 0.304 0.715 0.454
O2 O 0.215 0.199 0.455
Ni1 Ni 0.500 0.000 0.000
O3 O 0.585 0.021 0.259
O4 O 0.785 0.801 0.545
O5 O 0.715 0.301 0.955
Pm3 Pm 0.486 0.443 0.250
O6 O 0.085 0.479 0.759
Co1 Co 0.500 0.000 0.500
O7 O 0.196 0.215 0.046
O8 O 0.804 0.785 0.954
Co2 Co 0.000 0.500 0.000
O9 O 0.415 0.979 0.741
O10 O 0.696 0.285 0.546
O11 O 0.915 0.521 0.241
Ni2 Ni 0.000 0.500 0.500
O12 O 0.285 0.699 0.045
Pm4 Pm 0.986 0.057 0.750
```

Calculated values
As for the raw total energy: -137.89 eV for the cell shown. As for the total magnetic moment: 0.295 μB per atom.



Density functional theory data (PBE with a Hubbard U) for a geometry-optimized CoNi2PtO6 structure.

Geometry as CIF:
```
data_CoNi2PtO6
_chemical_formula_sum 'Co1 Ni2 Pt1 O6'
_cell_length_a 3.951
_cell_length_b 5.658
_cell_length_c 5.658
_cell_angle_alpha 90.00
_cell_angle_beta 90.00
_cell_angle_gamma 90.00
_symmetry_space_group_name_H-M 'P 1'
_symmetry_Int_Tables_number 1
loop_
_symmetry_equiv_pos_as_xyz
'x,y,z'
loop_
_atom_site_label
_atom_site_type_symbol
_atom_site_fract_x
_atom_site_fract_y
_atom_site_fract_z
Pt1 Pt 0.695 0.500 0.500
O1 O 0.755 0.751 0.249
Ni1 Ni 0.860 0.500 0.000
Co1 Co 0.615 0.000 0.000
O2 O 0.755 0.751 0.751
O3 O 0.755 0.249 0.249
O4 O 0.208 0.500 0.500
O5 O 0.755 0.249 0.751
O6 O 0.188 0.000 0.000
Ni2 Ni 0.860 0.000 0.500
```

Calculated values
As for the raw total energy: -49.86 eV for the cell shown. As for the total magnetic moment: 0.664 μB per atom.



Density functional theory data (PBE with a Hubbard U) for a geometry-optimized Co2Ni2PtO6 structure.

Geometry as CIF:
```
data_Co2Ni2PtO6
_chemical_formula_sum 'Co2 Ni2 Pt1 O6'
_cell_length_a 5.222
_cell_length_b 5.222
_cell_length_c 5.276
_cell_angle_alpha 100.10
_cell_angle_beta 100.10
_cell_angle_gamma 118.93
_symmetry_space_group_name_H-M 'P 1'
_symmetry_Int_Tables_number 1
loop_
_symmetry_equiv_pos_as_xyz
'x,y,z'
loop_
_atom_site_label
_atom_site_type_symbol
_atom_site_fract_x
_atom_site_fract_y
_atom_site_fract_z
Pt1 Pt 0.000 0.000 0.500
O1 O 0.392 0.045 0.732
Ni1 Ni 0.660 0.340 0.500
Ni2 Ni 0.340 0.660 0.500
O2 O 0.234 0.234 0.264
O3 O 0.045 0.392 0.732
O4 O 0.608 0.955 0.268
Co1 Co 0.827 0.173 0.000
O5 O 0.766 0.766 0.736
O6 O 0.955 0.608 0.268
Co2 Co 0.173 0.827 0.000
```

Calculated values
As for the raw total energy: -60.35 eV for the cell shown. As for the total magnetic moment: 0.909 μB per atom.



Density functional theory data (PBE with a Hubbard U) for a geometry-optimized Co2NiPtO6 structure.

Geometry as CIF:
```
data_Co2NiPtO6
_chemical_formula_sum 'Co2 Ni1 Pt1 O6'
_cell_length_a 5.065
_cell_length_b 5.066
_cell_length_c 5.424
_cell_angle_alpha 62.14
_cell_angle_beta 62.15
_cell_angle_gamma 60.01
_symmetry_space_group_name_H-M 'P 1'
_symmetry_Int_Tables_number 1
loop_
_symmetry_equiv_pos_as_xyz
'x,y,z'
loop_
_atom_site_label
_atom_site_type_symbol
_atom_site_fract_x
_atom_site_fract_y
_atom_site_fract_z
O1 O 0.620 0.215 0.243
O2 O 0.391 0.738 0.760
O3 O 0.215 0.922 0.243
O4 O 0.922 0.620 0.243
Co1 Co 0.008 0.008 0.977
Ni1 Ni 0.809 0.810 0.571
Pt1 Pt 0.323 0.323 0.030
O5 O 0.111 0.392 0.760
Co2 Co 0.525 0.525 0.426
O6 O 0.738 0.111 0.760
```

Calculated values
As for the raw total energy: -56.55 eV for the cell shown. As for the total magnetic moment: 0.398 μB per atom.